## YGe2Pt4 (PBE)

Data for an optimized crystal structure of YGe2Pt4.

N(E_F) = 11.49 states/eV per cell
formation enthalpy at 0 K = -0.728 eV/atom
calculated volume = 498.1 Å³ per cell

Structure (POSCAR):
```
YGe2Pt4
1.0
16.450 0.000 0.000
0.000 4.145 0.000
0.000 0.000 7.305
Y Ge Pt
4 8 16
Cartesian
2.447 1.036 0.527 Y
5.778 3.109 4.180 Y
10.672 1.036 3.125 Y
14.003 3.109 6.778 Y
0.364 3.109 1.817 Ge
3.091 1.036 4.551 Ge
5.134 3.109 0.898 Ge
7.861 1.036 5.470 Ge
8.589 3.109 1.835 Ge
11.316 1.036 6.407 Ge
13.359 3.109 2.754 Ge
16.086 1.036 5.488 Ge
0.721 3.109 6.598 Pt
0.892 1.036 3.223 Pt
2.827 3.109 2.910 Pt
3.533 3.109 6.014 Pt
4.692 1.036 2.362 Pt
5.398 1.036 6.562 Pt
7.333 3.109 6.875 Pt
7.504 1.036 2.945 Pt
8.946 3.109 4.360 Pt
9.117 1.036 0.430 Pt
11.052 3.109 0.743 Pt
11.758 3.109 4.943 Pt
12.917 1.036 1.291 Pt
13.623 1.036 4.395 Pt
15.558 3.109 4.082 Pt
15.729 1.036 0.707 Pt
```

---

## Y2ZnGe3Pt4 (PBE)

Data for an optimized crystal structure of Y2ZnGe3Pt4.

N(E_F) = 4.45 states/eV per cell
formation enthalpy at 0 K = -0.885 eV/atom
calculated volume = 187.1 Å³ per cell

Structure (POSCAR):
```
Y2ZnGe3Pt4
1.0
4.242 0.000 0.000
0.000 4.242 0.000
0.000 0.000 10.395
Y Zn Ge Pt
2 1 3 4
Cartesian
0.000 2.121 2.559 Y
2.121 0.000 7.836 Y
2.121 2.121 0.000 Zn
0.000 0.000 0.000 Ge
0.000 2.121 6.585 Ge
2.121 0.000 3.810 Ge
0.000 0.000 5.197 Pt
0.000 2.121 8.989 Pt
2.121 0.000 1.405 Pt
2.121 2.121 5.197 Pt
```

---

## Y2ZrGe3Pt4 (PBE)

Data for an optimized crystal structure of Y2ZrGe3Pt4.

N(E_F) = 9.55 states/eV per cell
formation enthalpy at 0 K = -0.945 eV/atom
calculated volume = 195.3 Å³ per cell

Structure (POSCAR):
```
Y2ZrGe3Pt4
1.0
4.162 0.000 0.000
0.000 4.162 0.000
0.000 0.000 11.275
Y Zr Ge Pt
2 1 3 4
Cartesian
0.000 2.081 2.527 Y
2.081 0.000 8.748 Y
0.000 0.000 5.637 Zr
0.000 2.081 9.765 Ge
2.081 0.000 1.510 Ge
2.081 2.081 5.637 Ge
0.000 0.000 0.000 Pt
0.000 2.081 7.329 Pt
2.081 0.000 3.946 Pt
2.081 2.081 0.000 Pt
```

---

## Yb2Ge3Pt9 (PBE)

Data for an optimized crystal structure of Yb2Ge3Pt9.

N(E_F) = 71.13 states/eV per cell
formation enthalpy at 0 K = -0.695 eV/atom
calculated volume = 478.5 Å³ per cell

Structure (POSCAR):
```
Yb2Ge3Pt9
1.0
6.717 -3.912 0.000
6.717 3.912 0.000
-4.476 0.000 9.104
Yb Ge Pt
4 6 18
Cartesian
1.152 0.661 2.284 Yb
-1.086 -0.661 6.836 Yb
10.044 0.661 2.268 Yb
7.807 -0.661 6.820 Yb
3.359 1.956 0.000 Ge
3.263 2.125 4.568 Ge
3.457 2.125 9.087 Ge
1.121 -1.956 4.552 Ge
5.501 -2.125 0.017 Ge
5.695 -2.125 4.535 Ge
5.580 3.258 0.699 Pt
5.617 3.258 3.853 Pt
1.141 0.638 5.262 Pt
4.148 1.483 2.336 Pt
1.114 0.685 8.463 Pt
3.379 -0.638 0.710 Pt
3.360 1.063 6.828 Pt
7.048 1.483 2.216 Pt
3.352 -0.685 3.911 Pt
5.606 0.685 5.192 Pt
1.911 -1.483 6.888 Pt
5.598 -1.063 2.276 Pt
5.580 0.638 8.394 Pt
7.844 -0.685 0.640 Pt
4.810 -1.483 6.767 Pt
7.818 -0.638 3.842 Pt
3.342 -3.258 5.251 Pt
3.379 -3.258 8.405 Pt
```

---

## ZnGe2Pt7 (PBE)

Data for an optimized crystal structure of ZnGe2Pt7.

N(E_F) = 6.19 states/eV per cell
formation enthalpy at 0 K = -0.376 eV/atom
calculated volume = 163.3 Å³ per cell

Structure (POSCAR):
```
ZnGe2Pt7
1.0
-2.015 2.015 10.053
2.015 -2.015 10.053
2.015 2.015 -10.053
Zn Ge Pt
1 2 7
Cartesian
0.000 0.000 0.000 Zn
0.000 0.000 6.586 Ge
0.000 0.000 13.521 Ge
2.015 0.000 1.947 Pt
2.015 0.000 5.027 Pt
2.015 0.000 8.106 Pt
0.000 0.000 10.053 Pt
0.000 2.015 1.947 Pt
0.000 2.015 5.027 Pt
0.000 2.015 8.106 Pt
```

---

## Zn3GePt12 (PBE)

Data for an optimized crystal structure of Zn3GePt12.

N(E_F) = 13.56 states/eV per cell
formation enthalpy at 0 K = -0.325 eV/atom
calculated volume = 244.7 Å³ per cell

Structure (POSCAR):
```
Zn3GePt12
1.0
3.931 0.000 0.000
0.000 3.931 0.000
0.000 0.000 15.832
Zn Ge Pt
3 1 12
Cartesian
0.000 0.000 0.000 Zn
0.000 0.000 3.912 Zn
0.000 0.000 11.920 Zn
0.000 0.000 7.916 Ge
0.000 1.966 1.967 Pt
0.000 1.966 5.906 Pt
0.000 1.966 9.926 Pt
0.000 1.966 13.865 Pt
1.966 0.000 1.967 Pt
1.966 0.000 5.906 Pt
1.966 0.000 9.926 Pt
1.966 0.000 13.865 Pt
1.966 1.966 0.000 Pt
1.966 1.966 3.946 Pt
1.966 1.966 7.916 Pt
1.966 1.966 11.886 Pt
```

---

## ZnGePt2 (PBE)

Data for an optimized crystal structure of ZnGePt2.

N(E_F) = 3.67 states/eV per cell
formation enthalpy at 0 K = -0.007 eV/atom
calculated volume = 179.4 Å³ per cell

Structure (POSCAR):
```
ZnGePt2
1.0
-2.896 2.896 5.348
2.896 -2.896 5.348
2.896 2.896 -5.348
Zn Ge Pt
2 2 4
Cartesian
0.000 0.000 0.000 Zn
0.000 2.896 2.674 Zn
2.896 0.000 2.674 Ge
0.000 0.000 5.348 Ge
1.448 -1.375 4.011 Pt
1.521 1.448 1.337 Pt
1.448 4.271 -1.337 Pt
1.375 1.448 6.685 Pt
```

---

## ZnGePt5 (PBE)

Data for an optimized crystal structure of ZnGePt5.

N(E_F) = 8.74 states/eV per cell
formation enthalpy at 0 K = -0.228 eV/atom
calculated volume = 229.4 Å³ per cell

Structure (POSCAR):
```
ZnGePt5
1.0
4.436 -4.333 0.000
4.436 4.333 0.000
-3.346 0.000 5.969
Zn Ge Pt
2 2 10
Cartesian
2.218 2.166 0.000 Zn
0.545 -2.166 2.984 Zn
1.926 2.502 4.477 Ge
3.599 -2.502 1.492 Ge
3.599 3.775 1.492 Pt
0.141 0.783 3.812 Pt
2.615 1.246 2.476 Pt
1.814 -0.783 0.828 Pt
4.583 1.246 0.508 Pt
0.942 -1.246 5.461 Pt
3.711 0.783 5.141 Pt
2.910 -1.246 3.493 Pt
5.384 -0.783 2.156 Pt
1.926 -3.775 4.477 Pt
```